# CaZrS2Cl

CaZrS2Cl at its PBEsol-relaxed geometry (SCAN, Alexandria via LeMat-Bulk).

Results
raw formation energy	-1.6671	eV/atom
symmetry	No. 123

```
CaZrS2Cl
1.0
4.831 0.000 0.000
0.000 4.960 0.000
0.000 0.000 4.960
Ca S Zr Cl
1 2 1 1
Cartesian
2.415 2.480 2.480 Ca
0.000 0.000 2.480 S
0.000 2.480 0.000 S
0.000 0.000 0.000 Zr
2.415 0.000 0.000 Cl
```